The following is a PBE+U calculation of a relaxed structure of Cr2BiPbO6, from Alexandria.

a b c (Å): 5.584 5.560 5.566
angles (deg): 59.80 59.83 59.92
Positions (direct):
Pb (0.255, 0.286, 0.182)
Cr (0.516, 0.518, 0.451)
Cr (0.017, 0.016, 0.950)
O (0.814, 0.716, 0.143)
O (0.359, 0.754, 0.714)
O (0.209, 0.811, 0.259)
O (0.205, 0.325, 0.752)
O (0.812, 0.209, 0.656)
O (0.684, 0.234, 0.233)
Bi (0.791, 0.793, 0.675)

The calculation puts the volume at 12.178 A^3/atom. As for the space group: Cm. The theoretical density comes out at 8.402 Mg/m³. The energy is -6.717 eV per atom.